The following is a PBE calculation of Ta2Be2Ru after structural relaxation, from Alexandria via LeMat-Bulk.

Results
Energy of formation from the pure elements: -199 kJ/mol of formula units

a = 6.270 Å, b = 6.270 Å, c = 3.306 Å
α = 90.00°, β = 90.00°, γ = 90.00°
Fractional positions:
1 Ru 0.000 0.000 0.000
2 Ru 0.500 0.500 0.000
3 Be 0.379 0.879 0.000
4 Be 0.879 0.621 0.000
5 Be 0.621 0.121 0.000
6 Be 0.121 0.379 0.000
7 Ta 0.174 0.674 0.500
8 Ta 0.674 0.826 0.500
9 Ta 0.826 0.326 0.500
10 Ta 0.326 0.174 0.500

---

The following is a PBE calculation of TaBeRu2 after structural relaxation, from Alexandria via LeMat-Bulk.

Results
Energy of formation from the pure elements: -10 kJ/mol of formula units

a = 7.968 Å, b = 7.968 Å, c = 7.968 Å
α = 20.66°, β = 20.66°, γ = 20.66°
Fractional positions:
1 Ru 0.012 0.012 0.012
2 Ru 0.488 0.488 0.488
3 Be 0.750 0.750 0.750
4 Ta 0.250 0.250 0.250

---

The following is a PBE calculation of TaBe2Ru after structural relaxation, from Alexandria via LeMat-Bulk.

Results
Relative energy among the computed polymorphs: 163 meV/atom
Energy of formation from the pure elements: -59 kJ/mol of formula units

a = 4.073 Å, b = 4.073 Å, c = 4.073 Å
α = 60.00°, β = 60.00°, γ = 60.00°
Fractional positions:
1 Ru 0.000 0.000 0.000
2 Be 0.250 0.250 0.250
3 Be 0.750 0.750 0.750
4 Ta 0.500 0.500 0.500

---

The following is a PBE calculation of TaBe2Ru after structural relaxation, from Alexandria via LeMat-Bulk.

Results
Relative energy among the computed polymorphs: 131 meV/atom
Energy of formation from the pure elements: -71 kJ/mol of formula units

a = 2.921 Å, b = 2.922 Å, c = 5.665 Å
α = 90.00°, β = 90.00°, γ = 90.00°
Fractional positions:
1 Ru 0.500 0.500 0.250
2 Be 0.000 0.000 0.050
3 Be 0.000 0.000 0.450
4 Ta 0.500 0.500 0.750

---

The following is a PBE calculation of TaBeRu4 after structural relaxation, from Alexandria via LeMat-Bulk.

Results
Energy of formation from the pure elements: 157 kJ/mol of formula units

a = 5.043 Å, b = 5.043 Å, c = 5.043 Å
α = 60.00°, β = 60.00°, γ = 60.00°
Fractional positions:
1 Ta 0.750 0.750 0.750
2 Be 0.000 0.000 0.000
3 Ru 0.877 0.374 0.374
4 Ru 0.374 0.374 0.877
5 Ru 0.374 0.877 0.374
6 Ru 0.374 0.374 0.374

---

The following is a PBE calculation of TaBe2Ru after structural relaxation, from Alexandria via LeMat-Bulk.

Results
Relative energy among the computed polymorphs: 225 meV/atom
Energy of formation from the pure elements: -34 kJ/mol of formula units

a = 4.452 Å, b = 4.452 Å, c = 4.452 Å
α = 129.75°, β = 129.75°, γ = 73.80°
Fractional positions:
1 Ru 0.500 0.500 0.000
2 Be 0.000 0.000 0.000
3 Be 0.250 0.750 0.500
4 Ta 0.750 0.250 0.500

---

The following is a PBE calculation of TaBe2Ru after structural relaxation, from Alexandria via LeMat-Bulk.

Results
Relative energy among the computed polymorphs: 242 meV/atom
Energy of formation from the pure elements: -28 kJ/mol of formula units

a = 4.054 Å, b = 4.054 Å, c = 3.023 Å
α = 89.99°, β = 89.99°, γ = 99.87°
Fractional positions:
1 Ru 0.500 0.000 0.500
2 Ta 0.000 0.500 0.500
3 Be 0.000 0.000 0.000
4 Be 0.500 0.500 0.000

---

The following is a PBE calculation of TaBeRu2 after structural relaxation, from Alexandria via LeMat-Bulk.

Results
Energy of formation from the pure elements: 66 kJ/mol of formula units

a = 6.554 Å, b = 6.554 Å, c = 5.324 Å
α = 52.01°, β = 52.01°, γ = 90.00°
Fractional positions:
1 Ru 0.560 0.125 0.250
2 Ru 0.190 0.625 0.250
3 Ru 0.375 0.440 0.750
4 Ru 0.875 0.810 0.750
5 Be 0.500 0.500 0.000
6 Be 0.250 0.750 0.500
7 Ta 0.000 0.000 0.000
8 Ta 0.750 0.250 0.500

---

The following is a PBE calculation of TaBeRu2 after structural relaxation, from Alexandria via LeMat-Bulk.

Results
Energy of formation from the pure elements: -58 kJ/mol of formula units

a = 3.148 Å, b = 3.148 Å, c = 5.691 Å
α = 90.00°, β = 90.00°, γ = 90.00°
Fractional positions:
1 Ru 0.000 0.000 0.935
2 Ru 0.500 0.500 0.269
3 Be 0.500 0.500 0.788
4 Ta 0.000 0.000 0.508

---

The following is a PBE calculation of TaBe3Ru4 after structural relaxation, from Alexandria via LeMat-Bulk.

Results
Energy of formation from the pure elements: -213 kJ/mol of formula units

a = 4.110 Å, b = 5.867 Å, c = 8.219 Å
α = 90.00°, β = 90.00°, γ = 90.00°
Fractional positions:
1 Be 0.000 0.000 0.000
2 Be 0.000 0.000 0.500
3 Be 0.500 0.000 0.750
4 Be 0.500 0.000 0.250
5 Be 0.500 0.500 0.750
6 Be 0.500 0.500 0.250
7 Ru 0.500 0.775 0.000
8 Ru 0.500 0.775 0.500
9 Ru 0.500 0.225 0.000
10 Ru 0.500 0.225 0.500
11 Ru 0.000 0.775 0.750
12 Ru 0.000 0.775 0.250
13 Ru 0.000 0.225 0.250
14 Ru 0.000 0.225 0.750
15 Ta 0.000 0.500 0.000
16 Ta 0.000 0.500 0.500

---

The following is a PBE calculation of TaBe3Ru after structural relaxation, from Alexandria via LeMat-Bulk.

Results
Relative energy among the computed polymorphs: 1383 meV/atom
Energy of formation from the pure elements: 906 kJ/mol of formula units

a = 4.295 Å, b = 4.295 Å, c = 4.295 Å
α = 90.00°, β = 90.00°, γ = 90.00°
Site moments in Bohr magnetons follow the coordinates.
Fractional positions:
1 Ru 0.500 0.500 0.500  1.97
2 Be 0.000 0.500 0.000  -0.01
3 Be 0.000 0.000 0.500  0.00
4 Be 0.500 0.000 0.000  0.01
5 Ta 0.000 0.000 0.000  0.13

---

The following is a PBE calculation of TaBeRu3 after structural relaxation, from Alexandria via LeMat-Bulk.

Results
Relative energy among the computed polymorphs: 0 meV/atom
Energy of formation from the pure elements: 4 kJ/mol of formula units

a = 4.104 Å, b = 4.104 Å, c = 4.104 Å
α = 90.00°, β = 90.00°, γ = 90.00°
Fractional positions:
1 Ru 0.000 0.500 0.000
2 Ru 0.000 0.000 0.500
3 Ru 0.500 0.000 0.000
4 Be 0.000 0.000 0.000
5 Ta 0.500 0.500 0.500

---

Q: Which of these has the highest energy of formation from the pure elements?
A: TaBe3Ru

---

Q: energy of formation from the pure elements of number 9 (TaBeRu2)?
A: -58 kJ/mol of formula units

---

Q: What is the energy of formation from the pure elements in the twelfth record?
A: 4 kJ/mol of formula units

---

Q: Look up the energy of formation from the pure elements of the first one.
A: -199 kJ/mol of formula units